Material: BaUMoO6
Method: DFT, PBE+U
State: relaxed

Cell and atoms, written as POSCAR:
```
BaUMoO6
1.0
5.627 0.000 0.000
-2.813 4.873 0.000
0.000 0.000 11.426
Ba U Mo O
2 2 2 12
Direct
0.000 0.000 0.000
0.000 0.000 0.500
0.667 0.333 0.250
0.333 0.667 0.750
0.333 0.667 0.250
0.667 0.333 0.750
0.622 0.626 0.153
0.003 0.378 0.153
0.378 0.003 0.653
0.997 0.622 0.847
0.374 0.378 0.347
0.003 0.626 0.347
0.626 0.003 0.847
0.622 0.997 0.347
0.997 0.374 0.653
0.374 0.997 0.153
0.626 0.622 0.653
0.378 0.374 0.847
```

Properties
**Magnetization**: 4.012 μB/cell
**Volume**: 17.41 A^3/atom
**E_tot**: -147.6 eV for the cell shown
**Crystal system**: trigonal